Crystalline TbEuDy at its relaxed geometry. Source: Alexandria via LeMat-Bulk, functional PBE-GGA.

The value obtained for the formation energy is 0.055 eV/atom.

The structure belongs to space group I4mm (No. 107); the cell edges are 3.6440, 3.6440 and 15.4985 Å and the angles 90.00°, 90.00° and 90.00°. The asymmetric unit holds Tb at (0.0000, 0.0000, 0.0000), Eu at (0.0000, 0.0000, 0.6753) and Dy at (0.0000, 0.0000, 0.3498).